DFT (PBE+U) results for K3Ni2OsO6 after structural relaxation.

Cell and atoms, written as CIF:
```
data_K3Ni2OsO6
_chemical_formula_sum 'K3 Ni2 Os1 O6'
_symmetry_space_group_name_H-M 'P 1'
_symmetry_Int_Tables_number 1
_cell_length_a 5.502
_cell_length_b 5.502
_cell_length_c 6.245
_cell_angle_alpha 98.40
_cell_angle_beta 98.40
_cell_angle_gamma 120.02
loop_
_symmetry_equiv_pos_as_xyz
'x,y,z'
loop_
_atom_site_label
_atom_site_fract_x
_atom_site_fract_y
_atom_site_fract_z
Ni1 0.334 0.666 0.000
Ni2 0.666 0.334 0.000
Os1 0.000 0.000 0.000
K1 0.827 0.173 0.500
K2 0.500 0.500 0.500
K3 0.173 0.827 0.500
O1 0.254 0.254 0.822
O2 0.941 0.628 0.825
O3 0.628 0.941 0.825
O4 0.059 0.372 0.175
O5 0.372 0.059 0.175
O6 0.746 0.746 0.178
```

Values from the calculation:
* magnetization: 7.00 μB per formula unit
* SG: C2/m
* calculated total energy: -5.301 eV per atom